This record from Alexandria via LeMat-Bulk describes a relaxed structure of ZnCdAs2. The functional is PBE.

Lattice parameters (Å, degrees): 3.1151 4.1089 6.5290 90.00 90.00 90.00
Sites, in units of the cell vectors:
Zn (0.0000, 0.0000, 0.0000)
Cd (0.5000, 0.5000, 0.7020)
As (0.0000, 0.0000, 0.5272)
As (0.5000, 0.5000, 0.1289)

Properties
E above lowest polymorph = 12.16 kJ per mole of atoms
energy of formation = 4.1 kcal/mol of atoms



This record from Alexandria via LeMat-Bulk describes a relaxed structure of ZnCdAs3. The functional is PBE.

Lattice parameters (Å, degrees): 4.8846 4.8846 4.8846 90.00 90.00 90.00
Sites, in units of the cell vectors:
Zn (0.0000, 0.0000, 0.0000)
Cd (0.5000, 0.5000, 0.5000)
As (0.0000, 0.0000, 0.5000)
As (0.0000, 0.5000, 0.0000)
As (0.5000, 0.0000, 0.0000)

Properties
E above lowest polymorph = 0.00 kJ per mole of atoms
energy of formation = 14.9 kcal/mol of atoms



This record from Alexandria via LeMat-Bulk describes a relaxed structure of Zr2CdAs. The functional is PBE.

Lattice parameters (Å, degrees): 5.1910 5.1910 5.1910 129.31 129.31 74.52
Sites, in units of the cell vectors:
Zr (0.2500, 0.7500, 0.5000)
Zr (0.7500, 0.2500, 0.5000)
Cd (0.0000, 0.0000, 0.0000)
As (0.5000, 0.5000, 0.0000)

Properties
E above lowest polymorph = 15.55 kJ per mole of atoms
energy of formation = -8.5 kcal/mol of atoms



This record from Alexandria via LeMat-Bulk describes a relaxed structure of ZrCdAs2. The functional is PBE.

Lattice parameters (Å, degrees): 4.6446 4.6446 3.6410 90.00 90.00 90.48
Sites, in units of the cell vectors:
Zr (0.0000, 0.0000, 0.0000)
Cd (0.5000, 0.5000, 0.0000)
As (0.0000, 0.5000, 0.5000)
As (0.5000, 0.0000, 0.5000)

Properties
energy of formation = -8.0 kcal/mol of atoms



Look up the energy of formation of the third one. -8.5 kcal/mol of atoms